Computed, not measured: crystalline Ce2InSi at its relaxed geometry at the PBE-GGA level of DFT.

Cell: 3.8726 3.8726 6.6888 Å, 90.00 90.00 90.00°
Space group P4/mmm (No. 123)
Asymmetric unit:
1 Ce 0.0000 0.0000 0.2042
2 In 0.5000 0.5000 0.5000
3 Si 0.5000 0.5000 0.0000

uncorrected energy = -21.89 eV/cell
crystal system = tetragonal
formation energy (no corrections) = -1.86 eV per formula unit
Fermi-level density of states = 7.338 states/eV/f.u.
V = 25.08 Å³ per atom

---

Computed, not measured: crystalline TiNbHg2 at its relaxed geometry at the PBE-GGA level of DFT.

Cell: 7.6028 7.6028 5.7426 Å, 90.00 90.00 90.00°
Space group I-42d (No. 122)
Asymmetric unit:
1 Ti 0.0000 0.0000 0.0000
2 Nb 0.0000 0.0000 0.5000
3 Hg 0.2417 0.2500 0.1250

uncorrected energy = -66.34 eV/cell
crystal system = tetragonal
Fermi-level density of states = 3.638 states/eV/f.u.
E above lowest polymorph = 389 meV per atom
V = 20.75 Å³ per atom
energy of formation from the pure elements = 1.98 eV per formula unit

---

Computed, not measured: crystalline Nd6Co2HgCl3 at its relaxed geometry at the PBE-GGA level of DFT.

Cell: 20.4893 3.9537 8.8254 Å, 90.00 106.51 90.00°
Space group C2/m (No. 12)
Asymmetric unit:
1 Nd 0.0411 0.0000 0.2848
2 Nd 0.1627 0.5000 0.1265
3 Nd 0.1885 0.5000 0.5828
4 Co 0.1733 0.0000 0.3507
5 Hg 0.0000 0.5000 0.0000
6 Cl 0.0000 0.5000 0.5000
7 Cl 0.1812 0.0000 0.8548

uncorrected energy = -117.54 eV/cell
crystal system = monoclinic
formation energy (no corrections) = -10.11 eV per formula unit
Fermi-level density of states = 6.489 states/eV/f.u.
V = 28.56 Å³ per atom

---

Computed, not measured: crystalline Tb2Pm3Sm7 at its relaxed geometry at the PBE-GGA level of DFT.

Cell: 5.9218 3.6129 19.0776 Å, 90.00 93.16 90.00°
Space group P2/m (No. 10)
Asymmetric unit:
1 Tb 0.2097 0.0000 0.2950
2 Pm 0.0000 0.0000 0.0000
3 Pm 0.2806 0.5000 0.6332
4 Sm 0.1857 0.5000 0.1446
5 Sm 0.2428 0.0000 0.4638
6 Sm 0.3122 0.0000 0.8209
7 Sm 0.5000 0.5000 0.0000

uncorrected energy = -55.52 eV/cell
crystal system = monoclinic
Fermi-level density of states = 16.100 states/eV/f.u.
E above lowest polymorph = 0 meV per atom
V = 33.96 Å³ per atom
energy of formation from the pure elements = 1.03 eV per formula unit

---

Computed, not measured: crystalline LiEr2HfS6 at its relaxed geometry at the PBE-GGA level of DFT.

Cell: 6.6574 6.6585 7.0990 Å, 62.10 62.13 60.02°
Space group P1 (No. 1)
Asymmetric unit:
1 Li 0.0000 0.0000 0.0000
2 Er 0.2001 0.1994 0.4016
3 Er 0.7065 0.7055 0.8837
4 Hf 0.5118 0.5114 0.4656
5 S 0.1354 0.4024 0.6912
6 S 0.2960 0.8974 0.1947
7 S 0.4034 0.7714 0.6912
8 S 0.6131 0.2952 0.1946
9 S 0.7724 0.1348 0.6911
10 S 0.8979 0.6122 0.1955

uncorrected energy = -61.63 eV/cell
crystal system = triclinic
formation energy (no corrections) = -15.87 eV per formula unit
Fermi-level density of states = 9.865 states/eV/f.u.
V = 22.94 Å³ per atom

---

Computed, not measured: crystalline ThTaIr at its relaxed geometry at the PBE-GGA level of DFT.

Cell: 4.0236 4.0236 16.4255 Å, 90.00 90.00 90.00°
Space group I4/mmm (No. 139)
Asymmetric unit:
1 Th 0.0000 0.0000 0.1693
2 Ta 0.0000 0.5000 0.0000
3 Ir 0.0000 0.0000 0.3717

uncorrected energy = -118.00 eV/cell
crystal system = tetragonal
Fermi-level density of states = 3.371 states/eV/f.u.
V = 22.16 Å³ per atom
energy of formation from the pure elements = -1.37 eV per formula unit

---

Computed, not measured: crystalline LaHoSnPd at its relaxed geometry at the PBE-GGA level of DFT.

Cell: 7.4872 7.4872 7.4872 Å, 90.00 90.00 90.00°
Space group F-43m (No. 216)
Asymmetric unit:
1 La 0.0000 0.0000 0.0000
2 Ho 0.0000 0.0000 0.5000
3 Sn 0.2500 0.2500 0.7500
4 Pd 0.2500 0.2500 0.2500

uncorrected energy = -86.08 eV/cell
crystal system = cubic
Fermi-level density of states = 2.424 states/eV/f.u.
V = 26.23 Å³ per atom
energy of formation from the pure elements = -2.82 eV per formula unit

---

Computed, not measured: crystalline Sr2YIn at its relaxed geometry at the PBE-GGA level of DFT.

Cell: 3.9992 6.0098 12.7031 Å, 90.00 90.00 90.00°
Space group Imm2 (No. 44)
Asymmetric unit:
1 Sr 0.0000 0.0000 0.0000
2 Sr 0.0000 0.5000 0.2074
3 Y 0.0000 0.5000 0.7921
4 In 0.0000 0.0000 0.4835

uncorrected energy = -26.17 eV/cell
crystal system = orthorhombic
Fermi-level density of states = 5.307 states/eV/f.u.
V = 38.16 Å³ per atom
energy of formation from the pure elements = -0.52 eV per formula unit

---

Computed, not measured: crystalline CrH at its relaxed geometry at the PBE-GGA level of DFT.

Cell: 3.8933 3.8933 3.8933 Å, 90.00 90.00 90.00°
Space group F-43m (No. 216)
Asymmetric unit:
1 Cr 0.0000 0.0000 0.0000
2 H 0.2500 0.2500 0.2500

uncorrected energy = -50.83 eV/cell
crystal system = cubic
Fermi-level density of states = 0.999 states/eV/f.u.
V = 7.38 Å³ per atom

---

Computed, not measured: crystalline HfZr2CrSb at its relaxed geometry at the PBE-GGA level of DFT.

Cell: 4.8155 4.8155 4.8995 Å, 90.00 90.00 90.00°
Space group P4/mmm (No. 123)
Asymmetric unit:
1 Hf 0.0000 0.0000 0.0000
2 Zr 0.0000 0.5000 0.5000
3 Cr 0.5000 0.5000 0.5000
4 Sb 0.5000 0.5000 0.0000

uncorrected energy = -38.42 eV/cell
crystal system = tetragonal
formation energy (no corrections) = 2.37 eV per formula unit
Fermi-level density of states = 8.619 states/eV/f.u.
V = 22.72 Å³ per atom

---

Computed, not measured: crystalline AgRuBr5 at its relaxed geometry at the PBE-GGA level of DFT.

Cell: 9.7846 10.6471 9.7216 Å, 90.00 118.38 90.00°
Space group C2/c (No. 15)
Asymmetric unit:
1 Ag 0.0000 0.1301 0.2500
2 Ru 0.0000 0.5000 0.0000
3 Br 0.0000 0.4226 0.7500
4 Br 0.0654 0.2743 0.4941
5 Br 0.2184 0.0533 0.8500

uncorrected energy = -87.47 eV/cell
crystal system = monoclinic
formation energy (no corrections) = -1.38 eV per formula unit
Fermi-level density of states = 4.483 states/eV/f.u.
V = 31.82 Å³ per atom

---

Computed, not measured: crystalline Li2NpH4 at its relaxed geometry at the PBE-GGA level of DFT.

Cell: 4.1208 4.1208 12.1273 Å, 90.00 90.00 90.00°
Space group I4/mmm (No. 139)
Asymmetric unit:
1 Li 0.0000 0.0000 0.1742
2 Np 0.0000 0.0000 0.5000
3 H 0.0000 0.0000 0.3196
4 H 0.0000 0.5000 0.0000

uncorrected energy = -58.27 eV/cell
crystal system = tetragonal
Fermi-level density of states = 7.920 states/eV/f.u.
V = 14.71 Å³ per atom

---

Number 8 is which compound? Sr2YIn

---

Repeat the ninth record exactly.
Computed, not measured: crystalline CrH at its relaxed geometry at the PBE-GGA level of DFT.

Cell: 3.8933 3.8933 3.8933 Å, 90.00 90.00 90.00°
Space group F-43m (No. 216)
Asymmetric unit:
1 Cr 0.0000 0.0000 0.0000
2 H 0.2500 0.2500 0.2500

uncorrected energy = -50.83 eV/cell
crystal system = cubic
Fermi-level density of states = 0.999 states/eV/f.u.
V = 7.38 Å³ per atom

---

Fermi-level density of states of number 6 (ThTaIr)? 3.371 states/eV/f.u.